[1]
Density functional theory data (GGA-PBE) for a relaxed PrPb2Au crystal.

Output
formation energy = -0.441 eV per atom
total DFT energy (no corrections) = -4.309 eV per atom

CIF file:
```
data_PrPb2Au
_cell_length_a 4.7957
_cell_length_b 4.7957
_cell_length_c 4.6856
_cell_angle_alpha 90.00
_cell_angle_beta 90.00
_cell_angle_gamma 90.00
_symmetry_space_group_name_H-M 'P 4/m m m'
_symmetry_Int_Tables_number 123
_symmetry_space_group_name_Hall '-P 4 2'
loop_
_atom_site_label
_atom_site_fract_x
_atom_site_fract_y
_atom_site_fract_z
Pr1 0.0000 0.0000 0.0000
Pb1 0.0000 0.5000 0.5000
Au1 0.5000 0.5000 0.0000
```

[2]
Density functional theory data (GGA-PBE) for a relaxed Pr3Pb4Au3 crystal.

Output
formation energy = -0.556 eV per atom
total DFT energy (no corrections) = -4.457 eV per atom

CIF file:
```
data_Pr3Pb4Au3
_cell_length_a 10.3399
_cell_length_b 10.3399
_cell_length_c 10.3399
_cell_angle_alpha 90.00
_cell_angle_beta 90.00
_cell_angle_gamma 90.00
_symmetry_space_group_name_H-M 'I -4 3 d'
_symmetry_Int_Tables_number 220
_symmetry_space_group_name_Hall 'I -4bd 2c 3'
loop_
_atom_site_label
_atom_site_fract_x
_atom_site_fract_y
_atom_site_fract_z
Pr1 0.0000 0.2500 0.8750
Pb1 0.0914 0.4086 0.5914
Au1 0.0000 0.2500 0.3750
```

[3]
Density functional theory data (GGA-PBE) for a relaxed Pr2PbAu crystal.

Output
formation energy = -0.627 eV per atom
total DFT energy (no corrections) = -4.763 eV per atom

CIF file:
```
data_Pr2PbAu
_cell_length_a 3.6803
_cell_length_b 3.6803
_cell_length_c 8.4402
_cell_angle_alpha 90.00
_cell_angle_beta 90.00
_cell_angle_gamma 90.00
_symmetry_space_group_name_H-M 'P 4/m m m'
_symmetry_Int_Tables_number 123
_symmetry_space_group_name_Hall '-P 4 2'
loop_
_atom_site_label
_atom_site_fract_x
_atom_site_fract_y
_atom_site_fract_z
Pr1 0.0000 0.0000 0.2258
Pb1 0.5000 0.5000 0.5000
Au1 0.5000 0.5000 0.0000
```

- Which value of formation energy does entry 1 give?
  -0.441 eV per atom

- Among the records above, which one has the lowest formation energy?
  Pr2PbAu

Please write out number 2 again, unchanged.
Density functional theory data (GGA-PBE) for a relaxed Pr3Pb4Au3 crystal.

Output
formation energy = -0.556 eV per atom
total DFT energy (no corrections) = -4.457 eV per atom

CIF file:
```
data_Pr3Pb4Au3
_cell_length_a 10.3399
_cell_length_b 10.3399
_cell_length_c 10.3399
_cell_angle_alpha 90.00
_cell_angle_beta 90.00
_cell_angle_gamma 90.00
_symmetry_space_group_name_H-M 'I -4 3 d'
_symmetry_Int_Tables_number 220
_symmetry_space_group_name_Hall 'I -4bd 2c 3'
loop_
_atom_site_label
_atom_site_fract_x
_atom_site_fract_y
_atom_site_fract_z
Pr1 0.0000 0.2500 0.8750
Pb1 0.0914 0.4086 0.5914
Au1 0.0000 0.2500 0.3750
```

- The lowest formation energy belongs to which entry?
  Pr2PbAu